An optimized crystal structure of PrTl2InS4. Source: Alexandria, functional PBE.

Summary:
calculated total energy: -4.493 eV per atom
space group: Imma, No. 74
M_tot: 0.0 μB per formula unit

Cell: 8.470 8.470 8.470 Å, 121.41 119.14 89.53°
Positions (direct):
Pr (0.000, 0.000, 0.000)
Pr (0.500, 0.000, 0.500)
Tl (0.000, 0.500, 0.500)
Tl (0.500, 0.000, 0.000)
Tl (0.500, 0.500, 0.000)
Tl (0.500, 0.500, 0.500)
In (0.000, 0.000, 0.500)
In (0.000, 0.500, 0.000)
S (0.200, 0.241, 0.959)
S (0.218, 0.759, 0.459)
S (0.231, 0.209, 0.478)
S (0.231, 0.753, 0.022)
S (0.769, 0.247, 0.978)
S (0.769, 0.791, 0.522)
S (0.782, 0.241, 0.541)
S (0.800, 0.759, 0.041)